VASP calculation (GGA+U) on an optimized crystal structure of CePaCoO6.

The structure in POSCAR format:
```
CePaCoO6
1.0
5.774 0.000 0.000
-2.887 5.001 0.000
0.000 0.000 8.513
Ce Pa Co O
2 2 2 12
Cartesian
2.887 1.667 2.128
0.000 3.334 6.385
0.000 3.334 2.128
2.887 1.667 6.385
0.000 0.000 0.000
0.000 0.000 4.256
1.912 3.426 1.064
-0.876 1.632 1.064
1.852 0.058 5.321
3.763 3.368 7.449
0.876 1.632 3.192
-1.912 3.426 3.192
3.923 0.058 7.449
1.036 4.943 3.192
4.799 1.575 5.321
-1.036 4.943 1.064
2.011 3.368 5.321
0.976 1.575 7.449
```

Properties
The value obtained for the total energy is -8.018 eV/atom. The symmetry is No. 163. The value obtained for the density is 7.107 g/cm3.